Compound: CuIrW2
Source: Alexandria
Functional: GGA-PBE
Structure: relaxed

Results
E above lowest polymorph	0.0691	eV per atom
ΔE_f	0.100	eV/atom

a = 2.7622 Å, b = 3.8582 Å, c = 5.5765 Å
α = 90.00°, β = 90.00°, γ = 90.00°
Space group Pmm2 (No. 25)
One atom of each set of equivalent atoms:
Cu1 0.0000 0.0000 0.0000 x1
Ir1 0.5000 0.5000 0.2393 x1
W1 0.0000 0.0000 0.4865 x1
W2 0.5000 0.5000 0.7687 x1